[1]
{"formula": "MnBe2Te", "functional": "PBE", "state": "relaxed", "final_energy_ev_per_atom": -4.4618, "e_form_raw_mev_per_atom": 479, "cell": [[-0.974, 4.467, 1.071], [-4.570, 0.990, -0.438], [2.384, -3.411, 2.176]], "species": ["Be", "Be", "Te", "Mn"], "frac_coords": [[0.000, 0.000, 0.000], [0.500, 0.500, 0.000], [0.750, 0.250, 0.500], [0.250, 0.750, 0.500]]}

***

[2]
{"formula": "PmPr14Ho", "functional": "PBE", "state": "relaxed", "final_energy_ev_per_atom": -4.7529, "ef_ev_per_fu": 0.20, "cell": [[7.323, 0.980, 0.000], [-0.985, 7.322, 0.000], [0.000, 0.000, 10.477]], "species": ["Pm", "Pr", "Pr", "Pr", "Pr", "Pr", "Pr", "Pr", "Pr", "Pr", "Pr", "Pr", "Pr", "Pr", "Pr", "Ho"], "frac_coords": [[0.875, 0.125, 0.000], [0.375, 0.625, 0.500], [0.875, 0.125, 0.500], [0.875, 0.625, 0.000], [0.875, 0.625, 0.500], [0.375, 0.125, 0.000], [0.375, 0.125, 0.500], [0.624, 0.874, 0.752], [0.624, 0.874, 0.248], [0.126, 0.376, 0.752], [0.126, 0.376, 0.248], [0.126, 0.874, 0.752], [0.126, 0.874, 0.248], [0.624, 0.376, 0.752], [0.624, 0.376, 0.248], [0.375, 0.625, 0.000]]}

***

[3]
{"formula": "Nd6GaNi2", "functional": "PBE", "state": "relaxed", "final_energy_ev_per_atom": -5.0662, "ef_ev_per_fu": -2.40, "cell": [[8.620, -0.119, 0.008], [-3.376, 7.932, -0.008], [-2.810, -3.780, 7.221]], "species": ["Nd", "Nd", "Nd", "Nd", "Nd", "Nd", "Nd", "Nd", "Nd", "Nd", "Nd", "Nd", "Ga", "Ga", "Ni", "Ni", "Ni", "Ni"], "frac_coords": [[0.532, 0.712, 0.820], [0.468, 0.288, 0.180], [0.108, 0.288, 0.820], [0.892, 0.712, 0.180], [0.806, 0.767, 0.573], [0.194, 0.233, 0.427], [0.194, 0.767, 0.961], [0.806, 0.233, 0.039], [0.692, 0.366, 0.674], [0.308, 0.634, 0.326], [0.308, 0.982, 0.674], [0.692, 0.018, 0.326], [0.000, 0.500, 0.500], [0.000, 0.000, 0.000], [0.500, 0.380, 0.880], [0.500, 0.620, 0.120], [0.646, 0.000, 0.646], [0.354, 0.000, 0.354]]}

***

[4]
{"formula": "Pu2Zn12Au5", "functional": "PBE", "state": "relaxed", "final_energy_ev_per_atom": -3.3618, "ef_ev_per_fu": -3.54, "cell": [[6.947, 0.057, 0.647], [0.595, 6.922, 0.647], [0.062, 0.057, 6.977]], "species": ["Pu", "Pu", "Zn", "Zn", "Zn", "Zn", "Zn", "Zn", "Zn", "Zn", "Zn", "Zn", "Zn", "Zn", "Au", "Au", "Au", "Au", "Au"], "frac_coords": [[0.652, 0.652, 0.652], [0.348, 0.348, 0.348], [0.302, 0.698, 0.000], [0.698, 0.000, 0.302], [0.000, 0.302, 0.698], [0.698, 0.302, 0.000], [0.302, 0.000, 0.698], [0.000, 0.698, 0.302], [0.352, 0.352, 0.836], [0.352, 0.836, 0.352], [0.836, 0.352, 0.352], [0.648, 0.164, 0.648], [0.648, 0.648, 0.164], [0.164, 0.648, 0.648], [0.000, 0.000, 0.500], [0.000, 0.500, 0.000], [0.500, 0.000, 0.000], [0.891, 0.891, 0.891], [0.109, 0.109, 0.109]]}

***

[5]
{"formula": "Sm6Te3PtS2", "functional": "PBE", "state": "relaxed", "final_energy_ev_per_atom": -5.9039, "e_form_raw_mev_per_atom": -1568, "cell": [[4.155, 0.000, 0.000], [0.000, 8.726, 0.185], [-2.078, -2.644, 9.052]], "species": ["Sm", "Sm", "Sm", "Sm", "Sm", "Sm", "Te", "Te", "Te", "Pt", "S", "S"], "frac_coords": [[0.337, 0.893, 0.675], [0.675, 0.560, 0.350], [0.663, 0.107, 0.325], [0.007, 0.227, 0.015], [0.993, 0.773, 0.985], [0.325, 0.440, 0.650], [0.500, 0.500, 0.000], [0.833, 0.170, 0.666], [0.167, 0.830, 0.334], [0.500, 0.000, 0.000], [0.832, 0.666, 0.664], [0.168, 0.334, 0.336]]}

***

[6]
{"formula": "Cd2OsRu", "functional": "PBE", "state": "relaxed", "final_energy_ev_per_atom": -4.9022, "de_polymorph_ev_per_fu": 2.040, "ef_ev_per_fu": 2.73, "cell": [[2.762, 0.000, 0.000], [0.000, 4.367, 0.000], [0.000, 0.000, 5.667]], "species": ["Cd", "Cd", "Os", "Ru"], "frac_coords": [[0.000, 0.000, 0.999], [0.000, 0.000, 0.501], [0.500, 0.500, 0.250], [0.500, 0.500, 0.750]]}

***

[7]
{"formula": "Ti2BMoIr", "functional": "PBE", "state": "relaxed", "final_energy_ev_per_atom": -8.6400, "ef_ev_per_fu": -1.04, "cell": [[4.347, 0.000, 0.000], [0.000, 3.877, 0.000], [0.000, 0.000, 4.347]], "species": ["Mo", "Ir", "B", "Ti", "Ti"], "frac_coords": [[0.500, 0.500, 0.500], [0.000, 0.500, 0.000], [0.000, 0.000, 0.000], [0.000, 0.000, 0.500], [0.500, 0.000, 0.000]]}

***

[8]
{"formula": "PmPrSc2", "functional": "PBE", "state": "relaxed", "final_energy_ev_per_atom": -5.4636, "de_polymorph_ev_per_fu": 0.135, "ef_ev_per_fu": 0.34, "cell": [[3.500, 0.000, 0.000], [1.750, 3.031, 0.000], [1.750, 1.010, 11.135]], "species": ["Pm", "Pr", "Sc", "Sc"], "frac_coords": [[0.500, 0.500, 0.499], [0.667, 0.667, 0.000], [0.083, 0.083, 0.750], [0.250, 0.250, 0.250]]}